# 1
Dy6Y3ErTh2 | GGA-PBE | relaxed

The magnetic moment is 0.000 μB per formula unit. The value obtained for the density of states at the Fermi level is 34.120 states/eV/cell. The value obtained for the volume is 762.1 Å³ per cell. The value obtained for the formation energy is 0.29 eV per formula unit.

The structure belongs to space group C2/m (No. 12); the cell edges are 6.159, 10.660 and 11.789 Å and the angles 90.00°, 100.04° and 90.00°. The asymmetric unit holds Dy at (0.246, 0.000, 0.247), Dy at (0.249, 0.168, 0.753), Y at (0.000, 0.000, 0.500), Y at (0.000, 0.334, 0.500), Er at (0.000, 0.500, 0.000) and Th at (0.000, 0.167, 0.000).

=====

# 2
LaDyHo2 | GGA-PBE | relaxed

The magnetic moment is 0.000 μB per formula unit. The value obtained for the density of states at the Fermi level is 6.574 states/eV/cell. The value obtained for the volume is 130.8 Å³ per cell. The value obtained for the formation energy is 0.13 eV per formula unit.

The structure belongs to space group P4/mmm (No. 123); the cell edges are 5.084, 5.084 and 5.060 Å and the angles 90.00°, 90.00° and 90.00°. The asymmetric unit holds La at (0.000, 0.000, 0.000), Dy at (0.500, 0.500, 0.000) and Ho at (0.000, 0.500, 0.500).

=====

# 3
Nd2PaSi | GGA-PBE | relaxed

The magnetic moment is 0.000 μB per formula unit. The value obtained for the density of states at the Fermi level is 18.786 states/eV/cell. The value obtained for the volume is 321.9 Å³ per cell. The value obtained for the formation energy (no corrections) is 0.24 eV/atom.

The structure belongs to space group R-3m (No. 166, hexagonal axes); the cell edges are 3.3018, 3.3018 and 34.0949 Å and the angles 90.00°, 90.00° and 120.00°. The asymmetric unit holds Nd at (0.0000, 0.0000, 0.0964), Pa at (0.0000, 0.0000, 0.0000) and Si at (0.0000, 0.0000, 0.5000).

=====

# 4
CsTl3Pd | GGA-PBE | relaxed

The magnetic moment is 0.000 μB per formula unit. The value obtained for the density of states at the Fermi level is 9.050 states/eV/cell. The value obtained for the volume is 689.1 Å³ per cell. The value obtained for the formation energy is -0.56 eV per formula unit.

The structure belongs to space group P2_1/c (No. 14); the cell edges are 9.173, 7.637 and 10.255 Å and the angles 90.00°, 106.44° and 90.00°. The asymmetric unit holds Cs at (0.144, 0.081, 0.214), Tl at (0.161, 0.614, 0.076), Tl at (0.320, 0.518, 0.390), Tl at (0.464, 0.140, 0.631) and Pd at (0.455, 0.739, 0.102).

=====

Number 2 is which compound? LaDyHo2

=====

Which of these has the lowest volume? LaDyHo2